No. 1
An optimized crystal structure of HfSeO3, computed with GGA-PBE.

The structure in POSCAR format:
```
HfSeO3
1.0
-2.834 -0.209 -2.971
1.959 -3.221 -1.641
-2.244 -2.547 2.320
Hf O Se
1 3 1
direct
0.000 0.000 0.000
0.000 0.000 0.500
0.500 0.000 0.000
0.000 0.500 0.000
0.500 0.500 0.500
```

Total DFT energy (no corrections): -7.217 eV per atom
SG: Pm-3m, No. 221
Volume: 69.5 Å³ per cell



No. 2
An optimized crystal structure of ThAl2Zn, computed with GGA-PBE.

The structure in POSCAR format:
```
ThAl2Zn
1.0
-3.306 -2.522 1.543
1.749 0.186 4.052
-2.369 3.629 0.855
Al Zn Th
2 1 1
direct
0.000 0.000 0.500
0.000 0.500 0.000
0.500 0.000 0.000
0.500 0.500 0.500
```

Total DFT energy (no corrections): -4.290 eV per atom
Energy of formation: -0.245 eV per atom
SG: P4/mmm, No. 123
Volume: 86.5 Å³ per cell



No. 3
An optimized crystal structure of TbErTl2S4, computed with GGA-PBE.

The structure in POSCAR format:
```
TbErTl2S4
1.0
4.023 0.000 0.000
0.000 6.967 0.098
0.000 -2.428 7.489
Tb Er S Tl
1 1 4 2
direct
0.500 0.500 0.000
0.000 0.000 0.000
0.500 0.771 0.803
0.000 0.736 0.198
0.000 0.264 0.802
0.500 0.229 0.197
0.000 0.500 0.500
0.500 0.000 0.500
```

Total DFT energy (no corrections): -5.293 eV per atom
SG: P2/m, No. 10
Volume: 210.9 Å³ per cell



No. 4
An optimized crystal structure of K2TmInBr6, computed with GGA-PBE.

The structure in POSCAR format:
```
K2TmInBr6
1.0
8.061 0.000 0.001
4.031 6.981 0.000
4.030 2.327 6.958
In Br Tm K
1 6 1 2
direct
0.814 0.814 0.558
0.988 0.559 0.246
0.433 0.667 0.782
0.667 0.118 0.782
0.118 0.433 0.782
0.559 0.208 0.246
0.208 0.988 0.246
0.324 0.324 0.029
0.532 0.532 0.405
0.020 0.020 0.940
```

Total DFT energy (no corrections): -3.537 eV per atom
SG: R3, No. 146
Volume: 391.5 Å³ per cell



No. 5
An optimized crystal structure of BeRePb2O, computed with GGA-PBE.

The structure in POSCAR format:
```
BeRePb2O
1.0
5.612 0.000 0.000
0.000 2.938 0.000
0.000 0.000 5.612
Pb Re O Be
2 1 1 1
direct
0.500 0.000 0.000
0.000 0.000 0.500
0.500 0.500 0.500
0.000 0.500 0.000
0.000 0.000 0.000
```

Total DFT energy (no corrections): -5.523 eV per atom
SG: P4/mmm, No. 123
Volume: 92.5 Å³ per cell



No. 6
An optimized crystal structure of NaPrScTl, computed with GGA-PBE.

The structure in POSCAR format:
```
NaPrScTl
1.0
5.376 0.000 0.000
2.688 4.656 0.000
2.688 1.552 4.390
Tl Sc Pr Na
1 1 1 1
direct
0.500 0.500 0.500
0.750 0.750 0.750
0.250 0.250 0.250
0.000 0.000 0.000
```

Total DFT energy (no corrections): -3.736 eV per atom
Energy of formation: -0.036 eV per atom
SG: F-43m, No. 216
Volume: 109.9 Å³ per cell



No. 7
An optimized crystal structure of Pr3Ag, computed with GGA-PBE.

The structure in POSCAR format:
```
Pr3Ag
1.0
6.345 0.000 0.000
3.172 8.953 0.000
3.172 0.000 8.953
Pr Ag
12 4
direct
0.116 0.394 0.332
0.518 0.047 0.410
0.489 0.668 0.394
0.813 0.812 0.039
0.843 0.606 0.668
0.551 0.332 0.606
0.974 0.953 0.590
0.435 0.590 0.047
0.664 0.188 0.961
0.147 0.039 0.188
0.072 0.410 0.953
0.375 0.961 0.812
0.688 0.335 0.253
0.059 0.253 0.665
0.276 0.665 0.747
0.977 0.747 0.335
```

Total DFT energy (no corrections): -4.364 eV per atom
Energy of formation: -0.067 eV per atom
SG: I-4, No. 82
Excess energy over the best structure of this formula in the dataset: 1.7 kJ per mole of atoms
Volume: 508.5 Å³ per cell



No. 8
An optimized crystal structure of LiLa2NpN4, computed with GGA-PBE.

The structure in POSCAR format:
```
LiLa2NpN4
1.0
-1.042 1.077 -3.374
-0.547 -5.804 -1.685
-5.589 -1.709 1.180
N Li La Np
4 1 2 1
direct
0.500 0.735 0.256
0.500 0.265 0.744
0.000 0.278 0.306
0.000 0.722 0.694
0.500 0.500 0.000
0.500 0.000 0.500
0.000 0.000 0.000
0.000 0.500 0.500
```

Total DFT energy (no corrections): -8.255 eV per atom
SG: P2/m, No. 10
Volume: 127.3 Å³ per cell



Among the records above, which one has the lowest total DFT energy (no corrections)?
LiLa2NpN4